Computed, not measured: Ac2TbNd5Tm after structural relaxation at the PBE-GGA level of DFT.

Results
Crystal system: orthorhombic
DFT total energy: -159.80 eV per cell
DOS at the Fermi energy: 49.23 states/eV per cell

Unit cell a=5.820 b=20.826 c=10.914 alpha=90.00 beta=90.00 gamma=90.00
Space group Cmc2_1 (No. 36)
One atom of each set of equivalent atoms:
1 Ac 0.000 0.113 0.000
2 Ac 0.000 0.117 0.580
3 Tb 0.000 0.406 0.736
4 Nd 0.000 0.018 0.285
5 Nd 0.000 0.280 0.578
6 Nd 0.000 0.293 0.967
7 Nd 0.000 0.383 0.285
8 Nd 0.000 0.485 0.010
9 Tm 0.000 0.204 0.275